Entry 1:
The following is a DFT calculation (PBE) of a relaxed NaNdGa4 crystal.

Geometry as POSCAR:
```
NaNdGa4
1.0
4.484 0.000 0.000
0.000 7.165 0.000
0.000 0.000 7.937
Na Nd Ga
2 2 8
direct
0.000 0.000 0.000
0.500 0.500 0.500
0.000 0.500 0.000
0.500 0.000 0.500
0.000 0.292 0.333
0.000 0.292 0.667
0.000 0.708 0.333
0.000 0.708 0.667
0.500 0.208 0.167
0.500 0.208 0.833
0.500 0.792 0.167
0.500 0.792 0.833
```

Summary:
* energy of formation: -0.381 eV per atom
* Fermi-level density of states: 3.24 states/eV per cell
* V: 21.249 Å³/atom

=====

Entry 2:
The following is a DFT calculation (PBE) of a relaxed NaNdGa crystal.

Geometry as POSCAR:
```
NaNdGa
1.0
4.769 0.000 0.000
0.000 19.328 0.000
0.000 0.000 3.832
Na Nd Ga
4 4 4
direct
0.000 0.212 0.250
0.000 0.788 0.750
0.500 0.288 0.750
0.500 0.712 0.250
0.000 0.421 0.750
0.000 0.579 0.250
0.500 0.079 0.250
0.500 0.921 0.750
0.000 0.047 0.750
0.000 0.953 0.250
0.500 0.453 0.250
0.500 0.547 0.750
```

Summary:
* energy of formation: -0.217 eV per atom
* Fermi-level density of states: 9.32 states/eV per cell
* V: 29.432 Å³/atom

=====

Entry 3:
The following is a DFT calculation (PBE) of a relaxed NaNdGa4 crystal.

Geometry as POSCAR:
```
NaNdGa4
1.0
0.000 3.965 3.965
3.965 0.000 3.965
3.965 3.965 0.000
Na Nd Ga
1 1 4
direct
0.000 0.000 0.000
0.750 0.750 0.750
0.375 0.375 0.375
0.375 0.375 0.874
0.375 0.874 0.375
0.874 0.375 0.375
```

Summary:
* energy of formation: -0.336 eV per atom
* Fermi-level density of states: 2.76 states/eV per cell
* V: 20.778 Å³/atom

=====

Entry 4:
The following is a DFT calculation (PBE) of a relaxed Na3Nd3GaO8 crystal.

Geometry as POSCAR:
```
Na3Nd3GaO8
1.0
3.492 2.016 5.547
-3.492 2.016 5.547
0.000 -4.032 5.547
Na Nd Ga O
3 3 1 8
direct
0.000 0.500 0.500
0.500 0.000 0.500
0.500 0.500 0.000
0.000 0.000 0.500
0.000 0.500 0.000
0.500 0.000 0.000
0.500 0.500 0.500
0.239 0.239 0.239
0.273 0.714 0.714
0.286 0.286 0.727
0.286 0.727 0.286
0.714 0.273 0.714
0.714 0.714 0.273
0.727 0.286 0.286
0.761 0.761 0.761
```

Summary:
* ΔE_f (raw): -2.27 eV per atom
* Fermi-level density of states: 14.38 states/eV per cell
* V: 15.624 Å³/atom